SiIr3 | PBE | relaxed

Output
D(E_F) ... 6.4 states/eV/f.u.
VASP energy ... -7.78 eV per atom
Formation energy without anion corrections ... 86 kJ/mol of formula units
Total magnetic moment ... 0.00 Bohr magnetons per cell

Cell: 4.3406 4.3406 4.3406 Å, 60.00 60.00 60.00°
Element x y z (fractional)
Ir 0.0000 0.0000 0.0000
Ir 0.2500 0.2500 0.2500
Ir 0.5000 0.5000 0.5000
Si 0.7500 0.7500 0.7500


Si23Ir4 | PBE | relaxed

Output
D(E_F) ... 31.4 states/eV/f.u.
VASP energy ... -5.21 eV per atom
Formation energy without anion corrections ... 1885 kJ/mol of formula units
Total magnetic moment ... 13.74 Bohr magnetons per cell

Cell: 10.0023 10.0023 10.0023 Å, 90.00 90.00 90.00°
Each line ends with the local moment (μB).
Element x y z (fractional)
Ir 0.0000 0.0000 0.0000  -0.56
Ir 0.5000 0.5000 0.5000  -0.56
Ir 0.2500 0.5000 0.0000  -1.48
Ir 0.7500 0.5000 0.0000  -1.48
Ir 0.5000 0.0000 0.2500  -1.48
Ir 0.5000 0.0000 0.7500  -1.48
Ir 0.0000 0.2500 0.5000  -1.48
Ir 0.0000 0.7500 0.5000  -1.48
Si 0.2500 0.0000 0.5000  -0.03
Si 0.7500 0.0000 0.5000  -0.03
Si 0.0000 0.5000 0.2500  -0.03
Si 0.0000 0.5000 0.7500  -0.03
Si 0.5000 0.2500 0.0000  -0.03
Si 0.5000 0.7500 0.0000  -0.03
Si 0.6790 0.6790 0.6790  -0.05
Si 0.6790 0.3210 0.3210  -0.05
Si 0.3210 0.6790 0.3210  -0.05
Si 0.3210 0.3210 0.6790  -0.05
Si 0.8210 0.8210 0.8210  -0.05
Si 0.8210 0.1790 0.1790  -0.05
Si 0.1790 0.8210 0.1790  -0.05
Si 0.1790 0.1790 0.8210  -0.05
Si 0.3210 0.3210 0.3210  -0.05
Si 0.3210 0.6790 0.6790  -0.05
Si 0.6790 0.3210 0.6790  -0.05
Si 0.6790 0.6790 0.3210  -0.05
Si 0.1790 0.1790 0.1790  -0.05
Si 0.1790 0.8210 0.8210  -0.05
Si 0.8210 0.1790 0.8210  -0.05
Si 0.8210 0.8210 0.1790  -0.05
Si 0.0000 0.6842 0.8856  -0.03
Si 0.0000 0.3158 0.1144  -0.03
Si 0.0000 0.6842 0.1144  -0.03
Si 0.0000 0.3158 0.8856  -0.03
Si 0.6842 0.8856 0.0000  -0.03
Si 0.6842 0.1144 0.0000  -0.03
Si 0.3158 0.8856 0.0000  -0.03
Si 0.3158 0.1144 0.0000  -0.03
Si 0.8856 0.0000 0.6842  -0.03
Si 0.8856 0.0000 0.3158  -0.03
Si 0.1144 0.0000 0.3158  -0.03
Si 0.1144 0.0000 0.6842  -0.03
Si 0.8158 0.5000 0.6144  -0.03
Si 0.8158 0.5000 0.3856  -0.03
Si 0.1842 0.5000 0.3856  -0.03
Si 0.1842 0.5000 0.6144  -0.03
Si 0.5000 0.6144 0.8158  -0.03
Si 0.5000 0.3856 0.1842  -0.03
Si 0.5000 0.6144 0.1842  -0.03
Si 0.5000 0.3856 0.8158  -0.03
Si 0.6144 0.8158 0.5000  -0.03
Si 0.6144 0.1842 0.5000  -0.03
Si 0.3856 0.8158 0.5000  -0.03
Si 0.3856 0.1842 0.5000  -0.03


SiIr5 | PBE | relaxed

Output
D(E_F) ... 4.3 states/eV/f.u.
VASP energy ... -8.43 eV per atom
Energy above the most stable polymorph in this dataset ... 0 kJ/mol of formula units
Formation energy without anion corrections ... -84 kJ/mol of formula units
Total magnetic moment ... 0.00 Bohr magnetons per cell

Cell: 2.7938 2.7938 10.8580 Å, 90.00 90.00 90.00°
Element x y z (fractional)
Si 0.5000 0.5000 0.0000
Ir 0.0000 0.0000 0.8603
Ir 0.0000 0.0000 0.1397
Ir 0.5000 0.5000 0.6710
Ir 0.5000 0.5000 0.3290
Ir 0.0000 0.0000 0.5000


Si2Ir | PBE | relaxed

Output
D(E_F) ... 0.8 states/eV/f.u.
VASP energy ... -6.78 eV per atom
Formation energy without anion corrections ... -61 kJ/mol of formula units
Total magnetic moment ... 0.00 Bohr magnetons per cell

Cell: 3.0079 3.0079 5.4876 Å, 90.00 90.00 120.00°
Element x y z (fractional)
Ir 0.0000 0.0000 0.0000
Si 0.6667 0.3333 0.6729
Si 0.3333 0.6667 0.3271


Si3Ir | PBE | relaxed

Output
D(E_F) ... 1.7 states/eV/f.u.
VASP energy ... -6.18 eV per atom
Formation energy without anion corrections ... 41 kJ/mol of formula units
Total magnetic moment ... 0.00 Bohr magnetons per cell

Cell: 4.4472 4.4472 2.9061 Å, 90.00 90.00 107.41°
Element x y z (fractional)
Ir 0.0000 0.0000 0.0000
Si 0.0000 0.5000 0.5000
Si 0.5000 0.0000 0.5000
Si 0.5000 0.5000 0.0000


Si2Ir3 | PBE | relaxed

Output
D(E_F) ... 3.9 states/eV/f.u.
VASP energy ... -7.67 eV per atom
Energy above the most stable polymorph in this dataset ... 212 kJ/mol of formula units
Formation energy without anion corrections ... -88 kJ/mol of formula units
Total magnetic moment ... 0.00 Bohr magnetons per cell

Cell: 4.0354 4.0354 5.4398 Å, 90.00 90.00 120.00°
Element x y z (fractional)
Si 0.6667 0.3333 0.0000
Si 0.0000 0.0000 0.5000
Ir 0.0000 0.0000 0.0000
Ir 0.3333 0.6667 0.2653
Ir 0.3333 0.6667 0.7347


Question: What is the formation energy without anion corrections in the fourth record?
Answer: -61 kJ/mol of formula units